V2Bi2O7 after structural relaxation, computed with PBE with a Hubbard U.

Output
Magnetization ... 0.00 μB/f.u.
DFT total energy ... -6.703 eV/atom
Space-group type ... C2/m (12)
Energy above the most stable polymorph in this dataset ... 117 meV/atom

Unit cell a=5.5962 b=5.7583 c=5.7583 alpha=95.69 beta=92.89 gamma=92.89
With the nearest neighbours (Å) after each atom.
Element x y z (fractional)
V (0.4175, 0.2217, 0.2217)  4 O 1.72-1.81
V (0.5825, 0.7783, 0.7783)  4 O 1.72-1.81
Bi (0.0000, 0.3217, 0.6783)  6 O 2.40-2.67
Bi (0.0000, 0.6783, 0.3217)  6 O 2.40-2.67
O (0.7606, 0.9077, 0.5805)  1 V 1.75
O (0.2394, 0.4195, 0.0923)  1 V 1.75
O (0.2394, 0.0923, 0.4195)  1 V 1.75
O (0.7606, 0.5805, 0.9077)  1 V 1.75
O (0.5000, 0.0000, 0.0000)  2 V 1.81
O (0.3279, 0.6382, 0.6382)  1 V 1.72
O (0.6721, 0.3618, 0.3618)  1 V 1.72